Computed, not measured: a relaxed structure of Y12HoEr2 at the PBE-GGA level of DFT.

abc: 6.4085 6.4085 25.0945
angles: 90.00 90.00 90.00
Closest atoms and distances in Å follow each position.
Positions (direct):
Y  0.5000  0.5000  0.2154  5 Y 3.09-3.44
Y  0.0000  0.0000  0.6614  5 Y 3.09-3.46
Y  0.5000  0.5000  0.3386  5 Y 3.09-3.46
Y  0.1687  0.6687  0.5614  6 Y 3.06-3.42
Y  0.8313  0.6687  0.4386  6 Y 3.06-3.42
Y  0.0000  0.0000  0.7846  5 Y 3.09-3.44
Y  0.3313  0.8313  0.4386  6 Y 3.06-3.42
Y  0.6687  0.1687  0.4386  6 Y 3.06-3.42
Y  0.3313  0.1687  0.5614  6 Y 3.06-3.42
Y  0.1838  0.3162  0.1151  7 Y 3.31-3.44, 1 Ho 3.33
Y  0.6838  0.1838  0.1151  7 Y 3.31-3.44, 1 Ho 3.33
Y  0.1687  0.3313  0.4386  6 Y 3.06-3.42
Y  0.6838  0.8162  0.8849  7 Y 3.31-3.44, 1 Ho 3.33
Y  0.8162  0.6838  0.1151  7 Y 3.31-3.44, 1 Ho 3.33
Y  0.5000  0.5000  0.6614  5 Y 3.09-3.46
Y  0.5000  0.5000  0.7846  5 Y 3.09-3.44
Y  0.8313  0.3313  0.5614  6 Y 3.06-3.42
Y  0.0000  0.0000  0.2154  5 Y 3.09-3.44
Y  0.3162  0.1838  0.8849  7 Y 3.31-3.44, 1 Ho 3.33
Y  0.8162  0.3162  0.8849  7 Y 3.31-3.44, 1 Ho 3.33
Y  0.1838  0.6838  0.8849  7 Y 3.31-3.44, 1 Ho 3.33
Y  0.3162  0.8162  0.1151  7 Y 3.31-3.44, 1 Ho 3.33
Y  0.6687  0.8313  0.5614  6 Y 3.06-3.42
Y  0.0000  0.0000  0.3386  5 Y 3.09-3.46
Er  0.0000  0.5000  0.2745  8 Y 3.53-3.59
Er  0.5000  0.0000  0.2745  8 Y 3.53-3.59
Er  0.5000  0.0000  0.7255  8 Y 3.53-3.59
Er  0.0000  0.5000  0.7255  8 Y 3.53-3.59
Ho  0.5000  0.0000  0.0000  4 Y 3.33
Ho  0.0000  0.5000  0.0000  4 Y 3.33

Its theoretical density is 5.05 Mg/m³. As for the density of states at the Fermi level: 21.60 states/eV/f.u. As for the crystal system: tetragonal.


Computed, not measured: a relaxed structure of Zr6FeCl14 at the PBE-GGA level of DFT.

abc: 9.9212 9.9212 11.9683
angles: 90.00 90.00 96.16
Closest atoms and distances in Å follow each position.
Positions (direct):
Cl  0.8591  0.6158  0.9916  2 Zr 2.56-2.57
Cl  0.7933  0.0350  0.7458  2 Zr 2.56-2.57
Cl  0.2469  0.7531  0.5000  2 Zr 2.55
Cl  0.6158  0.8591  0.9916  2 Zr 2.56-2.57
Cl  0.4650  0.7067  0.2458  2 Zr 2.56-2.57
Cl  0.1409  0.3842  0.0084  2 Zr 2.56-2.57
Cl  0.6028  0.1028  0.2500  2 Zr 2.67
Cl  0.7067  0.4650  0.2458  2 Zr 2.56-2.57
Cl  0.9650  0.2067  0.2542  2 Zr 2.56-2.57
Cl  0.5350  0.2933  0.7542  2 Zr 2.56-2.57
Cl  0.8441  0.8441  0.2432  2 Zr 2.65
Cl  0.7531  0.2469  0.5000  2 Zr 2.55
Cl  0.6559  0.6559  0.7432  2 Zr 2.65
Cl  0.2067  0.9650  0.2542  2 Zr 2.56-2.57
Cl  0.7469  0.2531  0.0000  2 Zr 2.55
Cl  0.8842  0.6409  0.4916  2 Zr 2.56-2.57
Cl  0.3441  0.3441  0.2568  2 Zr 2.65
Cl  0.1158  0.3591  0.5084  2 Zr 2.56-2.57
Cl  0.2933  0.5350  0.7542  2 Zr 2.56-2.57
Cl  0.3972  0.8972  0.7500  2 Zr 2.67
Cl  0.1559  0.1559  0.7568  2 Zr 2.65
Cl  0.6409  0.8842  0.4916  2 Zr 2.56-2.57
Cl  0.2531  0.7469  0.0000  2 Zr 2.55
Cl  0.3591  0.1158  0.5084  2 Zr 2.56-2.57
Cl  0.1028  0.6028  0.2500  2 Zr 2.67
Cl  0.3842  0.1409  0.0084  2 Zr 2.56-2.57
Cl  0.0350  0.7933  0.7458  2 Zr 2.56-2.57
Cl  0.8972  0.3972  0.7500  2 Zr 2.67
Zr  0.1908  0.9520  0.6199  1 Fe 2.46, 5 Cl 2.55-2.67
Zr  0.3488  0.3488  0.8892  1 Fe 2.40, 4 Cl 2.56
Zr  0.4520  0.6908  0.8801  1 Fe 2.46, 5 Cl 2.55-2.67
Zr  0.8092  0.0480  0.3801  1 Fe 2.46, 5 Cl 2.55-2.67
Zr  0.1512  0.1512  0.3892  1 Fe 2.40, 4 Cl 2.56
Zr  0.8488  0.8488  0.6108  1 Fe 2.40, 4 Cl 2.56
Zr  0.3092  0.5480  0.1199  1 Fe 2.46, 5 Cl 2.55-2.67
Zr  0.9520  0.1908  0.6199  1 Fe 2.46, 5 Cl 2.55-2.67
Zr  0.6512  0.6512  0.1108  1 Fe 2.40, 4 Cl 2.56
Zr  0.6908  0.4520  0.8801  1 Fe 2.46, 5 Cl 2.55-2.67
Zr  0.0480  0.8092  0.3801  1 Fe 2.46, 5 Cl 2.55-2.67
Zr  0.5480  0.3092  0.1199  1 Fe 2.46, 5 Cl 2.55-2.67
Fe  0.5000  0.5000  0.0000  6 Zr 2.40-2.46
Fe  0.0000  0.0000  0.5000  6 Zr 2.40-2.46

Its theoretical density is 3.12 Mg/m³. The calculation puts the formation energy without anion corrections at -1.67 eV/atom. As for the crystal system: orthorhombic.


Computed, not measured: a relaxed structure of PrLu2Co at the PBE-GGA level of DFT.

abc: 3.3606 3.3606 8.8152
angles: 90.00 90.00 90.00
Closest atoms and distances in Å follow each position.
Positions (direct):
Co  0.5000  0.5000  0.0000  8 Lu 2.84
Pr  0.5000  0.5000  0.5000  4 Pr 3.36, 8 Lu 3.71
Lu  0.0000  0.0000  0.1774  4 Co 2.84, 1 Lu 3.13
Lu  0.0000  0.0000  0.8226  4 Co 2.84, 1 Lu 3.13

Its theoretical density is 9.17 Mg/m³. As for the density of states at the Fermi level: 3.95 states/eV/f.u. The calculation puts the relative energy among the computed polymorphs at 0 meV per atom. As for the crystal system: tetragonal.


no.,magnetic moment (μB per cell),calculated total energy (eV per atom)
1,0.0,-5.7356
2,0.0,-5.7450
3,0.5,-5.3606